# Li4Ti3Mn2Co3O16

An optimized crystal structure of Li4Ti3Mn2Co3O16 (PBE+U, the Alexandria database).

Calculated values
V   276.06 Å³ per cell
Spin magnetization   7.0 μB per formula unit
Electronic total energy   -6.99 eV per atom
Space group   No. 8

Cell lengths 5.777, 5.777, 9.516 Å; angles 89.10, 89.10, 60.38 degrees
Each line ends with the local moment (μB).
Fractional coordinates of all 28 atoms:
Li: 0.675 0.675 0.112  0.00
Li: 0.975 0.975 0.011  0.00
Li: 0.993 0.993 0.499  0.00
Li: 0.337 0.337 0.597  0.00
Ti: 0.830 0.330 0.786  0.04
Ti: 0.330 0.830 0.786  0.04
Ti: 0.177 0.177 0.286  0.04
Mn: 0.669 0.669 0.510  3.31
Mn: 0.339 0.339 0.018  3.92
Co: 0.822 0.822 0.782  0.04
Co: 0.662 0.179 0.290  0.01
Co: 0.179 0.662 0.290  0.01
O: 0.839 0.336 0.403  -0.05
O: 0.520 0.520 0.656  -0.05
O: 0.658 0.658 0.896  0.00
O: 0.991 0.991 0.686  0.00
O: 0.005 0.005 0.196  -0.01
O: 0.336 0.839 0.403  -0.05
O: 0.958 0.521 0.655  -0.07
O: 0.521 0.958 0.655  -0.07
O: 0.155 0.155 0.892  0.01
O: 0.835 0.835 0.400  -0.06
O: 0.493 0.048 0.161  -0.07
O: 0.048 0.493 0.161  -0.07
O: 0.338 0.338 0.396  -0.01
O: 0.665 0.158 0.893  -0.03
O: 0.493 0.493 0.178  0.04
O: 0.158 0.665 0.893  -0.03